## NpPa2In (PBE)

Data for an optimized crystal structure of NpPa2In.

Cell: 3.6119 3.6119 25.3862 Å, 90.00 90.00 120.00°
Space group R-3m (No. 166, hexagonal axes)
Asymmetric unit:
Np 0.0000 0.0000 0.0000 [3 per cell]
Pa 0.0000 0.0000 0.2681 [6 per cell]
In 0.0000 0.0000 0.5000 [3 per cell]

Energy relative to the elements (eV per atom): 0.237
Energy (eV for the cell shown): -101.164
Offset from the most stable computed form (eV/atom): 0.0799
ρ (g/cm3): 14.14



## PmAl2GaNi2 (PBE)

Data for an optimized crystal structure of PmAl2GaNi2.

Cell: 4.381 4.381 5.658 Å, 90.00 90.00 90.00°
Space group P4/mmm (No. 123)
Asymmetric unit:
Pm 0.000 0.000 0.000 [1 per cell]
Al 0.500 0.500 0.252 [2 per cell]
Ga 0.000 0.000 0.500 [1 per cell]
Ni 0.000 0.500 0.500 [2 per cell]

Energy relative to the elements (eV per atom): -0.337
Energy (eV for the cell shown): -28.850
ρ (g/cm3): 5.91



## Sr5O4 (PBE)

Data for an optimized crystal structure of Sr5O4.

Cell: 8.395 8.395 5.279 Å, 90.00 90.00 90.00°
Space group I4/m (No. 87)
Asymmetric unit:
Sr 0.000 0.000 0.000 [2 per cell]
Sr 0.110 0.311 0.500 [8 per cell]
O 0.101 0.301 0.000 [8 per cell]

Energy (eV for the cell shown): -98.676
Energy relative to the elements, uncorrected (eV/atom): -2.344
ρ (g/cm3): 4.48



## CdPtI2 (PBE)

Data for an optimized crystal structure of CdPtI2.

Cell: 6.493 6.493 12.970 Å, 90.00 90.00 90.00°
Space group I-42d (No. 122)
Asymmetric unit:
Cd 0.000 0.000 0.000 [4 per cell]
Pt 0.000 0.000 0.500 [4 per cell]
I 0.217 0.250 0.625 [8 per cell]

Energy (eV for the cell shown): -38.569
Energy relative to the elements, uncorrected (eV/atom): 0.103
Offset from the most stable computed form (eV/atom): 0.0000
ρ (g/cm3): 6.82



## TiSnIN2 (PBE)

Data for an optimized crystal structure of TiSnIN2.

Cell: 4.153 4.153 5.531 Å, 90.00 90.00 90.00°
Space group P4/mmm (No. 123)
Asymmetric unit:
Ti 0.000 0.000 0.000 [1 per cell]
Sn 0.500 0.500 0.500 [1 per cell]
I 0.000 0.000 0.500 [1 per cell]
N 0.000 0.500 0.000 [2 per cell]

Energy (eV for the cell shown): -27.651
Energy relative to the elements, uncorrected (eV/atom): 0.490
Offset from the most stable computed form (eV/atom): 0.0000
ρ (g/cm3): 5.60



## BaLaTe2Pb (PBE)

Data for an optimized crystal structure of BaLaTe2Pb.

Cell: 6.145 6.145 6.029 Å, 90.00 90.00 90.00°
Space group P4/mmm (No. 123)
Asymmetric unit:
Ba 0.000 0.000 0.000 [1 per cell]
La 0.500 0.500 0.500 [1 per cell]
Te 0.000 0.500 0.500 [2 per cell]
Pb 0.500 0.500 0.000 [1 per cell]

Energy (eV for the cell shown): -20.454
Energy relative to the elements, uncorrected (eV/atom): -0.722
ρ (g/cm3): 5.39